# 1
{
  "formula": "Al2InRh",
  "functional": "PBE",
  "state": "relaxed",
  "spacegroup": "I4/mmm, No. 139",
  "e_form_kj_per_mol_atoms": -22,
  "final_energy_ev_per_atom": -4.63,
  "dos_at_fermi_per_ev_fu": 2.23,
  "lattice": [[4.0507, 0.0000, 0.0000], [0.0000, 4.0507, 0.0000], [0.0000, 0.0000, 8.0300]],
  "species": ["Al", "Al", "Al", "Al", "In", "In", "Rh", "Rh"],
  "frac_coords": [[0.0000, 0.5000, 0.2500], [0.0000, 0.5000, 0.7500], [0.5000, 0.0000, 0.2500], [0.5000, 0.0000, 0.7500], [0.0000, 0.0000, 0.0000], [0.5000, 0.5000, 0.5000], [0.0000, 0.0000, 0.5000], [0.5000, 0.5000, 0.0000]]
}



# 2
{
  "formula": "Al2InRh",
  "functional": "PBE",
  "state": "relaxed",
  "spacegroup": "P4/mmm, No. 123",
  "e_form_kj_per_mol_atoms": -13,
  "final_energy_ev_per_atom": -4.53,
  "dos_at_fermi_per_ev_fu": 0.87,
  "lattice": [[4.4870, 0.0000, 0.0000], [0.0000, 4.4870, 0.0000], [0.0000, 0.0000, 3.2842]],
  "species": ["Al", "Al", "In", "Rh"],
  "frac_coords": [[0.0000, 0.5000, 0.0000], [0.5000, 0.0000, 0.0000], [0.0000, 0.0000, 0.5000], [0.5000, 0.5000, 0.5000]]
}



# 3
{
  "formula": "AlIn2Rh",
  "functional": "PBE",
  "state": "relaxed",
  "spacegroup": "I4/mmm, No. 139",
  "e_form_kj_per_mol_atoms": -6,
  "final_energy_ev_per_atom": -4.20,
  "dos_at_fermi_per_ev_fu": 2.93,
  "lattice": [[4.1972, 0.0000, 0.0000], [0.0000, 4.1972, 0.0000], [0.0000, 0.0000, 8.3733]],
  "species": ["Al", "Al", "In", "In", "In", "In", "Rh", "Rh"],
  "frac_coords": [[0.0000, 0.0000, 0.0000], [0.5000, 0.5000, 0.5000], [0.0000, 0.5000, 0.2500], [0.0000, 0.5000, 0.7500], [0.5000, 0.0000, 0.2500], [0.5000, 0.0000, 0.7500], [0.0000, 0.0000, 0.5000], [0.5000, 0.5000, 0.0000]]
}



# 4
{
  "formula": "Al2InRh",
  "functional": "PBE",
  "state": "relaxed",
  "spacegroup": "Cm, No. 8",
  "e_form_kj_per_mol_atoms": -27,
  "final_energy_ev_per_atom": -4.68,
  "dos_at_fermi_per_ev_fu": 1.19,
  "lattice": [[8.9372, 0.0000, 0.0000], [0.0000, 3.1063, 0.0000], [-0.7983, 0.0000, 4.9456]],
  "species": ["Al", "Al", "Al", "Al", "In", "In", "Rh", "Rh"],
  "frac_coords": [[0.0000, 0.0000, 0.0000], [0.2468, 0.0000, 0.7612], [0.5000, 0.5000, 0.0000], [0.7468, 0.5000, 0.7612], [0.4830, 0.0000, 0.4728], [0.9830, 0.5000, 0.4728], [0.2317, 0.5000, 0.1621], [0.7317, 0.0000, 0.1621]]
}